Record 1
A relaxed Rb2MnPtI6 crystal. Source: the Alexandria database, functional PBE.

a = 8.069 Å, b = 8.069 Å, c = 8.069 Å
α = 60.00°, β = 60.00°, γ = 60.00°
Positions (direct):
1 Rb 0.250 0.250 0.250
2 Rb 0.750 0.750 0.750
3 Mn 0.000 0.000 0.000
4 Pt 0.500 0.500 0.500
5 I 0.252 0.252 0.748
6 I 0.252 0.748 0.252
7 I 0.252 0.748 0.748
8 I 0.748 0.252 0.252
9 I 0.748 0.252 0.748
10 I 0.748 0.748 0.252

Output
M_tot in Bohr magnetons per cell: 3.7
Crystal system: cubic
Space-group type: Fm-3m (225)
D(E_F) in states/eV/f.u.: 4.89
Electronic total energy in eV per atom: -3.30

***

Record 2
A relaxed MnSb2PtI crystal. Source: the Alexandria database, functional PBE.

a = 5.253 Å, b = 5.253 Å, c = 5.598 Å
α = 90.00°, β = 90.00°, γ = 90.00°
Positions (direct):
1 Mn 0.000 0.000 0.000
2 Sb 0.000 0.500 0.500
3 Sb 0.500 0.000 0.500
4 Pt 0.500 0.500 0.500
5 I 0.500 0.500 0.000

Output
M_tot in Bohr magnetons per cell: 3.7
Crystal system: tetragonal
Space-group type: P4/mmm (123)
D(E_F) in states/eV/f.u.: 4.14
Electronic total energy in eV per atom: -4.34

***

no.,raw formation energy (eV per atom),V (Å³ per atom)
1,-0.65,37.14
2,0.66,30.89